Entry from the Alexandria database: a relaxed YCo2Pb crystal (GGA-PBEsol).

Properties
spin magnetization: 0.740 μB per atom
Fermi-level density of states: 1.907 states/eV/atom

a = 6.577 Å, b = 6.577 Å, c = 6.577 Å
α = 90.00°, β = 90.00°, γ = 90.00°
Space group F-43m (No. 216)
Symmetry-distinct sites (fractional):
Y 0.000 0.000 0.000 (multiplicity 4)
Co 0.000 0.000 0.500 (multiplicity 4)
Co 0.250 0.250 0.250 (multiplicity 4)
Pb 0.250 0.250 0.750 (multiplicity 4)

Entry from the Alexandria database: a relaxed YTa3O9 crystal (GGA-PBEsol).

Properties
spin magnetization: 0.000 μB per atom
formation energy (no corrections): -34.8 eV per formula unit
Fermi-level density of states: 0.000 states/eV/atom

a = 5.619 Å, b = 7.019 Å, c = 8.657 Å
α = 92.67°, β = 93.08°, γ = 100.71°
Space group P1 (No. 1)
Symmetry-distinct sites (fractional):
Y 0.000 0.000 0.000 (multiplicity 1)
Y 0.387 0.518 0.949 (multiplicity 1)
Ta 0.282 0.094 0.667 (multiplicity 1)
Ta 0.301 0.617 0.543 (multiplicity 1)
Ta 0.437 0.881 0.230 (multiplicity 1)
Ta 0.720 0.951 0.589 (multiplicity 1)
Ta 0.766 0.402 0.627 (multiplicity 1)
Ta 0.970 0.510 0.199 (multiplicity 1)
O 0.045 0.322 0.067 (multiplicity 1)
O 0.126 0.536 0.716 (multiplicity 1)
O 0.131 0.718 0.073 (multiplicity 1)
O 0.254 0.065 0.197 (multiplicity 1)
O 0.317 0.195 0.868 (multiplicity 1)
O 0.322 0.616 0.306 (multiplicity 1)
O 0.335 0.903 0.473 (multiplicity 1)
O 0.404 0.338 0.555 (multiplicity 1)
O 0.448 0.858 0.727 (multiplicity 1)
O 0.622 0.868 0.055 (multiplicity 1)
O 0.652 0.501 0.145 (multiplicity 1)
O 0.654 0.652 0.557 (multiplicity 1)
O 0.699 0.467 0.823 (multiplicity 1)
O 0.713 0.086 0.343 (multiplicity 1)
O 0.787 0.897 0.365 (multiplicity 1)
O 0.966 0.192 0.604 (multiplicity 1)
O 0.967 0.489 0.432 (multiplicity 1)
O 0.976 0.905 0.738 (multiplicity 1)

Entry from the Alexandria database: a relaxed CaScRh4 crystal (GGA-PBEsol).

Properties
spin magnetization: 0.000 μB per atom
Fermi-level density of states: 0.885 states/eV/atom

a = 7.332 Å, b = 7.332 Å, c = 7.332 Å
α = 90.00°, β = 90.00°, γ = 90.00°
Space group F-43m (No. 216)
Symmetry-distinct sites (fractional):
Ca 0.000 0.000 0.000 (multiplicity 4)
Sc 0.250 0.250 0.250 (multiplicity 4)
Rh 0.125 0.125 0.625 (multiplicity 16)

Entry from the Alexandria database: a relaxed CrPbO4 crystal (GGA-PBEsol).

Properties
spin magnetization: 0.000 μB per atom
formation energy (no corrections): -9.7 eV per formula unit

a = 8.143 Å, b = 5.714 Å, c = 7.515 Å
α = 90.00°, β = 90.00°, γ = 90.00°
Space group Pnma (No. 62)
Symmetry-distinct sites (fractional):
Cr 0.049 0.250 0.175 (multiplicity 4)
Pb 0.205 0.250 0.703 (multiplicity 4)
O 0.062 0.007 0.297 (multiplicity 8)
O 0.129 0.750 0.925 (multiplicity 4)
O 0.199 0.250 0.030 (multiplicity 4)

In order of appearance, electronic total energy = -25.0, -126.5, -44.4, -45.0 eV/f.u..